(1)
# TlCuPt PBE relaxed
data_TlCuPt
_chemical_formula_sum 'Tl4 Cu4 Pt4'
_symmetry_space_group_name_H-M 'F -4 3 m'
_symmetry_Int_Tables_number 216
_symmetry_space_group_name_Hall 'F -4 2 3'
_cell_length_a 6.271
_cell_length_b 6.271
_cell_length_c 6.271
_cell_angle_alpha 90.00
_cell_angle_beta 90.00
_cell_angle_gamma 90.00
loop_
_atom_site_label
_atom_site_type_symbol
_atom_site_fract_x
_atom_site_fract_y
_atom_site_fract_z
Tl1 Tl 0.000 0.000 0.000
Cu1 Cu 0.000 0.000 0.500
Pt1 Pt 0.250 0.250 0.750
# Relative energy among the computed polymorphs (meV/atom): 8.3

(2)
Compound: Pm4Cd5Au2
Source: Alexandria
Functional: PBE
Structure: relaxed

The structure in CIF format:
```
data_Pm4Cd5Au2
_chemical_formula_sum 'Pm4 Cd5 Au2'
_symmetry_space_group_name_H-M 'P 1 2/m 1'
_symmetry_Int_Tables_number 10
_cell_length_a 7.811
_cell_length_b 3.671
_cell_length_c 10.130
_cell_angle_alpha 90.00
_cell_angle_beta 94.25
_cell_angle_gamma 90.00
loop_
_symmetry_equiv_pos_as_xyz
'x,y,z'
'-x,-y,-z'
'-x,y,-z'
'x,-y,z'
loop_
_atom_site_label
_atom_site_type_symbol
_atom_site_fract_x
_atom_site_fract_y
_atom_site_fract_z
Pm1 Pm 0.166 0.000 0.369
Pm2 Pm 0.247 0.000 0.945
Cd1 Cd 0.193 0.500 0.655
Cd2 Cd 0.448 0.500 0.196
Cd3 Cd 0.500 0.500 0.500
Au1 Au 0.064 0.500 0.139
```

(3)
# SrCdRe3 PBE relaxed
data_SrCdRe3
_chemical_formula_sum 'Sr1 Cd1 Re3'
_symmetry_space_group_name_H-M 'P m -3 m'
_symmetry_Int_Tables_number 221
_symmetry_space_group_name_Hall '-P 4 2 3'
_cell_length_a 4.852
_cell_length_b 4.852
_cell_length_c 4.852
_cell_angle_alpha 90.00
_cell_angle_beta 90.00
_cell_angle_gamma 90.00
loop_
_atom_site_label
_atom_site_type_symbol
_atom_site_fract_x
_atom_site_fract_y
_atom_site_fract_z
Sr1 Sr 0.000 0.000 0.000
Cd1 Cd 0.500 0.500 0.500
Re1 Re 0.000 0.000 0.500
# Relative energy among the computed polymorphs (meV/atom): 914.8

Number 1: energy of formation 2.4 kcal/mol of atoms, calculated total energy -4.063 eV per atom. Number 2: energy of formation -10.4 kcal/mol of atoms, calculated total energy -3.191 eV per atom. Number 3: energy of formation 82.0 kcal/mol of atoms, calculated total energy -4.431 eV per atom.